[1]
{
  "formula": "LiTbZn4",
  "functional": "PBE-GGA",
  "state": "relaxed",
  "dos_ef_per_ev_atom": 0.774,
  "relative_energy_ev_per_fu": 0.40,
  "magnetic_moment_mub_per_fu": 0.0,
  "lattice_angstrom": [[4.0435, 0.0000, 0.0000], [0.0000, 6.5826, 0.0000], [-2.0217, 0.0000, 8.0525]],
  "species": ["Li", "Li", "Tb", "Tb", "Zn", "Zn", "Zn", "Zn", "Zn", "Zn", "Zn", "Zn"],
  "frac_coords": [[0.2333, 0.7500, 0.4666], [0.7667, 0.2500, 0.5334], [0.1123, 0.2500, 0.2246], [0.8877, 0.7500, 0.7754], [0.5000, 0.5000, 0.0000], [0.5000, 0.0000, 0.0000], [0.6692, 0.9440, 0.3384], [0.3308, 0.0560, 0.6616], [0.3308, 0.4440, 0.6616], [0.6692, 0.5560, 0.3384], [0.0750, 0.7500, 0.1500], [0.9250, 0.2500, 0.8500]]
}



[2]
{
  "formula": "LiTbZn",
  "functional": "PBE-GGA",
  "state": "relaxed",
  "dos_ef_per_ev_atom": 1.031,
  "relative_energy_ev_per_fu": 0.02,
  "magnetic_moment_mub_per_fu": 0.0,
  "lattice_angstrom": [[-1.4868, 2.8214, -1.2583], [-2.3547, -1.9391, -1.5656], [-6.4512, 0.5923, 8.9690]],
  "species": ["Li", "Li", "Tb", "Tb", "Zn", "Zn"],
  "frac_coords": [[0.8716, 0.2910, 0.8331], [0.3723, 0.7910, 0.6793], [0.8724, 0.2912, 0.1356], [0.3730, 0.7912, 0.3767], [0.8730, 0.2911, 0.5532], [0.3722, 0.7912, 0.9591]]
}



[3]
{
  "formula": "LiTbZn10",
  "functional": "PBE-GGA",
  "state": "relaxed",
  "dos_ef_per_ev_atom": 0.365,
  "e_tot_ev_per_atom": -1.78,
  "magnetic_moment_mub_per_fu": 0.0,
  "lattice_angstrom": [[-0.0731, 1.5500, -4.0234], [-3.2220, -3.7482, -1.3854], [-7.1122, 5.3098, 2.1748]],
  "species": ["Li", "Tb", "Zn", "Zn", "Zn", "Zn", "Zn", "Zn", "Zn", "Zn", "Zn", "Zn"],
  "frac_coords": [[0.0000, 0.0000, 0.0000], [0.0000, 0.5000, 0.5000], [0.0000, 0.0000, 0.3108], [0.0000, 0.5000, 0.8459], [0.0000, 0.5000, 0.1541], [0.0000, 0.0000, 0.6892], [0.5000, 0.0000, 0.5000], [0.5000, 0.5000, 0.0000], [0.5000, 0.2566, 0.2585], [0.5000, 0.7434, 0.7415], [0.5000, 0.7434, 0.2585], [0.5000, 0.2566, 0.7415]]
}



[4]
{
  "formula": "Li2TbZn6",
  "functional": "PBE-GGA",
  "state": "relaxed",
  "dos_ef_per_ev_atom": 0.312,
  "e_tot_ev_per_atom": -1.96,
  "magnetic_moment_mub_per_fu": 0.0,
  "lattice_angstrom": [[-1.6007, -1.6829, -2.2195], [3.9041, -6.6458, -0.1015], [-2.4186, -6.1001, 4.0445]],
  "species": ["Li", "Li", "Tb", "Zn", "Zn", "Zn", "Zn", "Zn", "Zn"],
  "frac_coords": [[0.8575, 0.6425, 0.6425], [0.1425, 0.3575, 0.3575], [0.0000, 0.0000, 0.0000], [0.6782, 0.0052, 0.6384], [0.3218, 0.9948, 0.3616], [0.3218, 0.3616, 0.9948], [0.5000, 0.6634, 0.3366], [0.5000, 0.3366, 0.6634], [0.6782, 0.6384, 0.0052]]
}



[5]
{
  "formula": "Li6TbZn6",
  "functional": "PBE-GGA",
  "state": "relaxed",
  "dos_ef_per_ev_atom": 0.404,
  "e_tot_ev_per_atom": -2.02,
  "magnetic_moment_mub_per_fu": 0.0,
  "lattice_angstrom": [[4.7740, 0.0000, 1.9082], [2.3672, 6.4799, 1.0037], [-0.0178, -0.1017, 6.9706]],
  "species": ["Li", "Li", "Li", "Li", "Li", "Li", "Tb", "Zn", "Zn", "Zn", "Zn", "Zn", "Zn"],
  "frac_coords": [[0.3564, 0.6436, 0.6436], [0.6436, 0.3564, 0.3564], [0.0000, 0.3459, 0.6541], [0.0000, 0.6541, 0.3459], [0.2918, 0.2082, 0.2082], [0.7082, 0.7918, 0.7918], [0.0000, 0.0000, 0.0000], [0.0000, 0.5000, 0.0000], [0.5000, 0.5000, 0.0000], [0.0000, 0.0000, 0.5000], [0.5000, 0.0000, 0.5000], [0.5000, 0.7894, 0.2106], [0.5000, 0.2106, 0.7894]]
}



[6]
{
  "formula": "Li5Tb2Zn12",
  "functional": "PBE-GGA",
  "state": "relaxed",
  "dos_ef_per_ev_atom": 0.481,
  "e_tot_ev_per_atom": -2.04,
  "magnetic_moment_mub_per_fu": 0.0,
  "lattice_angstrom": [[-2.1057, 2.4875, -5.9605], [-6.3784, -2.3107, 0.3554], [-2.7992, 5.6925, 2.4310]],
  "species": ["Li", "Li", "Li", "Li", "Li", "Tb", "Tb", "Zn", "Zn", "Zn", "Zn", "Zn", "Zn", "Zn", "Zn", "Zn", "Zn", "Zn", "Zn"],
  "frac_coords": [[0.0000, 0.0000, 0.5000], [0.0000, 0.5000, 0.0000], [0.5000, 0.0000, 0.0000], [0.9034, 0.9034, 0.9034], [0.0966, 0.0966, 0.0966], [0.6535, 0.6535, 0.6535], [0.3465, 0.3465, 0.3465], [0.2970, 0.7030, 0.0000], [0.7030, 0.0000, 0.2970], [0.0000, 0.2970, 0.7030], [0.7030, 0.2970, 0.0000], [0.2970, 0.0000, 0.7030], [0.0000, 0.7030, 0.2970], [0.3483, 0.3483, 0.8450], [0.3483, 0.8450, 0.3483], [0.8450, 0.3483, 0.3483], [0.6517, 0.1550, 0.6517], [0.6517, 0.6517, 0.1550], [0.1550, 0.6517, 0.6517]]
}



[7]
{
  "formula": "LiTbZn17",
  "functional": "PBE-GGA",
  "state": "relaxed",
  "dos_ef_per_ev_atom": 0.282,
  "e_tot_ev_per_atom": -1.62,
  "magnetic_moment_mub_per_fu": 0.0,
  "lattice_angstrom": [[6.7314, 0.0331, 0.8311], [0.7389, 6.6908, 0.8311], [0.0367, 0.0331, 6.7824]],
  "species": ["Li", "Tb", "Zn", "Zn", "Zn", "Zn", "Zn", "Zn", "Zn", "Zn", "Zn", "Zn", "Zn", "Zn", "Zn", "Zn", "Zn", "Zn", "Zn"],
  "frac_coords": [[0.3559, 0.3559, 0.3559], [0.6624, 0.6624, 0.6624], [0.2981, 0.0038, 0.6936], [0.6936, 0.2981, 0.0038], [0.0038, 0.6936, 0.2981], [0.2981, 0.6936, 0.0038], [0.0038, 0.2981, 0.6936], [0.6936, 0.0038, 0.2981], [0.3500, 0.8400, 0.3500], [0.3500, 0.3500, 0.8400], [0.8400, 0.3500, 0.3500], [0.6459, 0.1647, 0.6459], [0.6459, 0.6459, 0.1647], [0.1647, 0.6459, 0.6459], [0.9912, 0.5040, 0.9912], [0.9912, 0.9912, 0.5040], [0.5040, 0.9912, 0.9912], [0.9015, 0.9015, 0.9015], [0.1062, 0.1062, 0.1062]]
}



[8]
{
  "formula": "Li4TbZn8",
  "functional": "PBE-GGA",
  "state": "relaxed",
  "dos_ef_per_ev_atom": 0.243,
  "e_tot_ev_per_atom": -1.93,
  "magnetic_moment_mub_per_fu": 0.0,
  "lattice_angstrom": [[4.7225, 0.0000, 0.0000], [2.3613, 6.5372, 0.0000], [2.3613, 0.0000, 6.5372]],
  "species": ["Li", "Li", "Li", "Li", "Tb", "Zn", "Zn", "Zn", "Zn", "Zn", "Zn", "Zn", "Zn"],
  "frac_coords": [[0.0000, 0.0000, 0.5000], [0.5000, 0.0000, 0.5000], [0.0000, 0.5000, 0.0000], [0.5000, 0.5000, 0.0000], [0.0000, 0.0000, 0.0000], [0.0000, 0.3571, 0.6429], [0.0000, 0.6429, 0.3571], [0.3571, 0.6429, 0.6429], [0.6429, 0.3571, 0.3571], [0.5000, 0.7821, 0.2179], [0.5000, 0.2179, 0.7821], [0.2821, 0.2179, 0.2179], [0.7179, 0.7821, 0.7821]]
}



- Which formula does entry 7 have?
  LiTbZn17